Record 1
Ni8Br | PBE | relaxed

Output
Crystal system   tetragonal
Formation energy from raw total energies   0.275 eV/atom

```
data_Ni8Br
_chemical_formula_sum 'Ni16 Br2'
_symmetry_space_group_name_H-M 'I 4/m m m'
_symmetry_Int_Tables_number 139
_symmetry_space_group_name_Hall '-I 4 2'
_cell_length_a 7.7541
_cell_length_b 7.7541
_cell_length_c 3.5432
_cell_angle_alpha 90.00
_cell_angle_beta 90.00
_cell_angle_gamma 90.00
loop_
_atom_site_label
_atom_site_type_symbol
_atom_site_fract_x
_atom_site_fract_y
_atom_site_fract_z
_atom_site_occupancy
Ni1 Ni 0.0000 0.3414 0.0000 1
Ni2 Ni 0.1758 0.1758 0.5000 1
Br1 Br 0.0000 0.0000 0.0000 1
```

---

Record 2
KAgSbTe3 | PBE | relaxed

Output
Crystal system   monoclinic
Formation energy from raw total energies   -0.340 eV/atom

```
data_KAgSbTe3
_chemical_formula_sum 'K2 Ag2 Sb2 Te6'
_symmetry_space_group_name_H-M 'P 1 21/m 1'
_symmetry_Int_Tables_number 11
_cell_length_a 9.7632
_cell_length_b 4.3707
_cell_length_c 10.1652
_cell_angle_alpha 90.00
_cell_angle_beta 106.83
_cell_angle_gamma 90.00
loop_
_symmetry_equiv_pos_as_xyz
'x,y,z'
'-x,-y,-z'
'-x,y+1/2,-z'
'x,-y+1/2,z'
loop_
_atom_site_label
_atom_site_type_symbol
_atom_site_fract_x
_atom_site_fract_y
_atom_site_fract_z
_atom_site_occupancy
K1 K 0.1970 0.2500 0.2562 1
Ag1 Ag 0.0645 0.2500 0.5901 1
Sb1 Sb 0.3309 0.7500 0.8665 1
Te1 Te 0.1191 0.2500 0.8841 1
Te2 Te 0.2359 0.7500 0.5483 1
Te3 Te 0.4615 0.7500 0.1708 1
```

---

Record 3
Mn2Co2Ni | PBE | relaxed

Output
Crystal system   tetragonal
Excess energy over the best structure of this formula in the dataset   74 meV per atom
Formation energy from the elements   0.2285 eV/atom

```
data_Mn2Co2Ni
_chemical_formula_sum 'Mn4 Co4 Ni2'
_symmetry_space_group_name_H-M 'P 4/m b m'
_symmetry_Int_Tables_number 127
_symmetry_space_group_name_Hall '-P 4 2ab'
_cell_length_a 6.6963
_cell_length_b 6.6963
_cell_length_c 2.4549
_cell_angle_alpha 90.00
_cell_angle_beta 90.00
_cell_angle_gamma 90.00
loop_
_atom_site_label
_atom_site_type_symbol
_atom_site_fract_x
_atom_site_fract_y
_atom_site_fract_z
_atom_site_occupancy
Mn1 Mn 0.1725 0.3275 0.0000 1
Co1 Co 0.1241 0.6241 0.5000 1
Ni1 Ni 0.0000 0.0000 0.5000 1
```

---

Record 4
KB | PBE | relaxed

Output
Crystal system   triclinic
Excess energy over the best structure of this formula in the dataset   7 meV per atom
Formation energy from the elements   0.2525 eV/atom

```
data_KB
_chemical_formula_sum 'K2 B2'
_symmetry_space_group_name_H-M 'P -1'
_symmetry_Int_Tables_number 2
_cell_length_a 3.1886
_cell_length_b 6.0698
_cell_length_c 6.0829
_cell_angle_alpha 87.78
_cell_angle_beta 78.60
_cell_angle_gamma 79.29
loop_
_symmetry_equiv_pos_as_xyz
'x,y,z'
'-x,-y,-z'
loop_
_atom_site_label
_atom_site_type_symbol
_atom_site_fract_x
_atom_site_fract_y
_atom_site_fract_z
_atom_site_occupancy
K1 K 0.0000 0.0000 0.0000 1
K2 K 0.5000 0.5000 0.5000 1
B1 B 0.2502 0.0048 0.4950 1
```

---

Record 5
Li2CaRhN | PBE | relaxed

Output
Crystal system   tetragonal
Formation energy from raw total energies   -0.202 eV/atom

```
data_Li2CaRhN
_chemical_formula_sum 'Li2 Ca1 Rh1 N1'
_symmetry_space_group_name_H-M 'P 4/m m m'
_symmetry_Int_Tables_number 123
_symmetry_space_group_name_Hall '-P 4 2'
_cell_length_a 4.2500
_cell_length_b 4.2500
_cell_length_c 4.0472
_cell_angle_alpha 90.00
_cell_angle_beta 90.00
_cell_angle_gamma 90.00
loop_
_atom_site_label
_atom_site_type_symbol
_atom_site_fract_x
_atom_site_fract_y
_atom_site_fract_z
_atom_site_occupancy
Li1 Li 0.0000 0.5000 0.0000 1
Ca1 Ca 0.0000 0.0000 0.5000 1
Rh1 Rh 0.5000 0.5000 0.5000 1
N1 N 0.5000 0.5000 0.0000 1
```

---

Record 6
UAsSe4 | PBE | relaxed

Output
Crystal system   monoclinic
Excess energy over the best structure of this formula in the dataset   0 meV per atom
Formation energy from raw total energies   -0.619 eV/atom

```
data_UAsSe4
_chemical_formula_sum 'U1 As1 Se4'
_symmetry_space_group_name_H-M 'P 1 2/m 1'
_symmetry_Int_Tables_number 10
_cell_length_a 6.6965
_cell_length_b 4.0149
_cell_length_c 6.8740
_cell_angle_alpha 90.00
_cell_angle_beta 90.31
_cell_angle_gamma 90.00
loop_
_symmetry_equiv_pos_as_xyz
'x,y,z'
'-x,-y,-z'
'-x,y,-z'
'x,-y,z'
loop_
_atom_site_label
_atom_site_type_symbol
_atom_site_fract_x
_atom_site_fract_y
_atom_site_fract_z
_atom_site_occupancy
U1 U 0.0000 0.0000 0.0000 1
As1 As 0.0000 0.5000 0.5000 1
Se1 Se 0.2205 0.0000 0.6682 1
Se2 Se 0.2278 0.5000 0.1731 1
```

---

Record 7
ZrTaRe2 | PBE | relaxed

Output
Crystal system   tetragonal
Formation energy from the elements   -0.3243 eV/atom

```
data_ZrTaRe2
_chemical_formula_sum 'Zr1 Ta1 Re2'
_symmetry_space_group_name_H-M 'P 4/m m m'
_symmetry_Int_Tables_number 123
_symmetry_space_group_name_Hall '-P 4 2'
_cell_length_a 3.2429
_cell_length_b 3.2429
_cell_length_c 6.5455
_cell_angle_alpha 90.00
_cell_angle_beta 90.00
_cell_angle_gamma 90.00
loop_
_atom_site_label
_atom_site_type_symbol
_atom_site_fract_x
_atom_site_fract_y
_atom_site_fract_z
_atom_site_occupancy
Zr1 Zr 0.0000 0.0000 0.0000 1
Ta1 Ta 0.0000 0.0000 0.5000 1
Re1 Re 0.5000 0.5000 0.2611 1
```

---

Record 8
La3Mn | PBE | relaxed

Output
Crystal system   hexagonal
Formation energy from the elements   0.3087 eV/atom

```
data_La3Mn
_chemical_formula_sum 'La3 Mn1'
_symmetry_space_group_name_H-M 'P -6 m 2'
_symmetry_Int_Tables_number 187
_symmetry_space_group_name_Hall 'P -6 2'
_cell_length_a 3.6304
_cell_length_b 3.6304
_cell_length_c 11.0918
_cell_angle_alpha 90.00
_cell_angle_beta 90.00
_cell_angle_gamma 120.00
loop_
_atom_site_label
_atom_site_type_symbol
_atom_site_fract_x
_atom_site_fract_y
_atom_site_fract_z
_atom_site_occupancy
La1 La 0.0000 0.0000 0.0000 1
La2 La 0.6667 0.3333 0.2873 1
Mn1 Mn 0.0000 0.0000 0.5000 1
```

---

Record 9
LiAcCd2 | PBE | relaxed

Output
Crystal system   hexagonal
Excess energy over the best structure of this formula in the dataset   0 meV per atom
Formation energy from the elements   -0.2594 eV/atom

```
data_LiAcCd2
_chemical_formula_sum 'Li2 Ac2 Cd4'
_symmetry_space_group_name_H-M 'P 63/m m c'
_symmetry_Int_Tables_number 194
_symmetry_space_group_name_Hall '-P 6c 2c'
_cell_length_a 4.9608
_cell_length_b 4.9608
_cell_length_c 10.5244
_cell_angle_alpha 90.00
_cell_angle_beta 90.00
_cell_angle_gamma 120.00
loop_
_atom_site_label
_atom_site_type_symbol
_atom_site_fract_x
_atom_site_fract_y
_atom_site_fract_z
_atom_site_occupancy
Li1 Li 0.0000 0.0000 0.0000 1
Ac1 Ac 0.3333 0.6667 0.2500 1
Cd1 Cd 0.3333 0.6667 0.5712 1
```

---

Record 10
YTm3Se6 | PBE | relaxed

Output
Crystal system   monoclinic
Excess energy over the best structure of this formula in the dataset   0 meV per atom
Formation energy from raw total energies   -1.853 eV/atom

```
data_YTm3Se6
_chemical_formula_sum 'Y2 Tm6 Se12'
_symmetry_space_group_name_H-M 'P 1 21/m 1'
_symmetry_Int_Tables_number 11
_cell_length_a 11.4760
_cell_length_b 4.0600
_cell_length_c 11.7454
_cell_angle_alpha 90.00
_cell_angle_beta 109.22
_cell_angle_gamma 90.00
loop_
_symmetry_equiv_pos_as_xyz
'x,y,z'
'-x,-y,-z'
'-x,y+1/2,-z'
'x,-y+1/2,z'
loop_
_atom_site_label
_atom_site_type_symbol
_atom_site_fract_x
_atom_site_fract_y
_atom_site_fract_z
_atom_site_occupancy
Y1 Y 0.0442 0.2500 0.1934 1
Tm1 Tm 0.1592 0.2500 0.5837 1
Tm2 Tm 0.3173 0.7500 0.9990 1
Tm3 Tm 0.4339 0.2500 0.3329 1
Se1 Se 0.0825 0.7500 0.4028 1
Se2 Se 0.1126 0.2500 0.9655 1
Se3 Se 0.1942 0.7500 0.7504 1
Se4 Se 0.2558 0.7500 0.2240 1
Se5 Se 0.3949 0.2500 0.5616 1
Se6 Se 0.4795 0.2500 0.1149 1
```

---

Record 11
Dy3YHo3Se8 | PBE | relaxed

Output
Crystal system   trigonal
Formation energy from raw total energies   -1.827 eV/atom

```
data_Dy3YHo3Se8
_chemical_formula_sum 'Dy9 Y3 Ho9 Se24'
_symmetry_space_group_name_H-M 'R -3 m'
_symmetry_Int_Tables_number 166
_symmetry_space_group_name_Hall '-R 3 2"'
_cell_length_a 8.1038
_cell_length_b 8.1038
_cell_length_c 19.8596
_cell_angle_alpha 90.00
_cell_angle_beta 90.00
_cell_angle_gamma 120.00
loop_
_atom_site_label
_atom_site_type_symbol
_atom_site_fract_x
_atom_site_fract_y
_atom_site_fract_z
_atom_site_occupancy
Dy1 Dy 0.0000 0.5000 0.0000 1
Y1 Y 0.0000 0.0000 0.5000 1
Ho1 Ho 0.0000 0.5000 0.5000 1
Se1 Se 0.0000 0.0000 0.2494 1
Se2 Se 0.0065 0.5033 0.7489 1
```